Here is a relaxed structure of SrRhW from Alexandria. Energies are from PBE.

Results
Excess energy over the best structure of this formula in the dataset: 0 meV per atom
DFT formation energy: 0.409 eV per atom

abc: 3.245 3.269 12.511
angles: 90.00 90.00 90.00
Space group Imm2 (No. 44)
Unique sites:
Sr (0.000, 0.000, 0.000)
Rh (0.000, 0.000, 0.296)
W (0.000, 0.000, 0.707)

Here is a relaxed structure of RbMg2Mo from Alexandria. Energies are from PBE.

Results
Excess energy over the best structure of this formula in the dataset: 0 meV per atom
DFT formation energy: 1.078 eV per atom

abc: 7.583 7.583 7.583
angles: 90.00 90.00 90.00
Space group Fm-3m (No. 225)
Unique sites:
Rb (0.000, 0.000, 0.000)
Mg (0.250, 0.250, 0.250)
Mo (0.000, 0.000, 0.500)

Here is a relaxed structure of Rb2MgCd3F12 from Alexandria. Energies are from PBE.

Results
E_form (uncorrected): -52.7 kcal/mol of atoms

abc: 7.9355 7.9355 18.6827
angles: 90.00 90.00 120.00
Space group R-3m (No. 166, hexagonal axes)
Unique sites:
Rb (0.0000, 0.0000, 0.1538)
Mg (0.0000, 0.0000, 0.5000)
Cd (0.0000, 0.5000, 0.0000)
F (0.0714, 0.5357, 0.3712)
F (0.0858, 0.5429, 0.1111)

Here is a relaxed structure of DyHoEr2Tm from Alexandria. Energies are from PBE.

Results
DFT formation energy: 0.403 eV per atom

abc: 8.255 11.271 7.134
angles: 90.00 90.00 90.00
Space group Cmcm (No. 63)
Unique sites:
Dy (0.000, 0.224, 0.250)
Ho (0.000, 0.224, 0.750)
Er (0.191, 0.000, 0.000)
Tm (0.000, 0.500, 0.250)

Here is a relaxed structure of LiAlCo2 from Alexandria. Energies are from PBE.

Results
DFT formation energy: -0.053 eV per atom

abc: 5.067 7.209 2.586
angles: 90.00 90.00 90.00
Space group Cmmm (No. 65)
Unique sites:
Li (0.000, 0.000, 0.000)
Al (0.000, 0.500, 0.000)
Co (0.250, 0.250, 0.500)

Here is a relaxed structure of PaPb2I8 from Alexandria. Energies are from PBE.

Results
E_form (uncorrected): -16.6 kcal/mol of atoms

abc: 15.692 8.224 8.408
angles: 90.00 90.16 90.00
Space group C2/m (No. 12)
Unique sites:
Pa (0.000, 0.000, 0.000)
Pb (0.134, 0.000, 0.503)
I (0.047, 0.253, 0.251)
I (0.183, 0.000, 0.886)
I (0.192, 0.500, 0.617)

Here is a relaxed structure of CaCuP2S from Alexandria. Energies are from PBE.

Results
E_form (uncorrected): 25.8 kcal/mol of atoms
Excess energy over the best structure of this formula in the dataset: 1160 meV per atom

abc: 5.226 5.226 5.081
angles: 90.00 90.00 90.00
Space group P4/mmm (No. 123)
Unique sites:
Ca (0.000, 0.000, 0.000)
Cu (0.500, 0.500, 0.500)
P (0.000, 0.500, 0.000)
S (0.000, 0.000, 0.500)

Here is a relaxed structure of Tm2AlGe2Rh5 from Alexandria. Energies are from PBE.

Results
DFT formation energy: -0.872 eV per atom

abc: 9.704 9.704 3.528
angles: 90.00 90.00 90.00
Space group P4/mbm (No. 127)
Unique sites:
Tm (0.173, 0.327, 0.000)
Al (0.000, 0.000, 0.000)
Ge (0.126, 0.626, 0.000)
Rh (0.000, 0.500, 0.500)
Rh (0.067, 0.796, 0.500)

Please write out number 5 again, unchanged.
Here is a relaxed structure of LiAlCo2 from Alexandria. Energies are from PBE.

Results
DFT formation energy: -0.053 eV per atom

abc: 5.067 7.209 2.586
angles: 90.00 90.00 90.00
Space group Cmmm (No. 65)
Unique sites:
Li (0.000, 0.000, 0.000)
Al (0.000, 0.500, 0.000)
Co (0.250, 0.250, 0.500)